Model P:
# TmB4As, relaxed, DFT GGA-PBE
# Symmetry: Immm
# ρ: 7.2 g/cm3
data_TmB4As
_cell_length_a 5.1429
_cell_length_b 5.1429
_cell_length_c 5.1429
_cell_angle_alpha 144.29
_cell_angle_beta 122.39
_cell_angle_gamma 69.66
_symmetry_space_group_name_H-M 'P 1'
_symmetry_Int_Tables_number 1
loop_
_symmetry_equiv_pos_as_xyz
'x,y,z'
loop_
_atom_site_label
_atom_site_type_symbol
_atom_site_fract_x
_atom_site_fract_y
_atom_site_fract_z
As1 As 0.0000 0.0000 0.0000
B1 B 0.4585 0.7727 0.6857
B2 B 0.0870 0.7727 0.3143
B3 B 0.5415 0.2273 0.3143
B4 B 0.9130 0.2273 0.6857
Tm1 Tm 0.5000 0.5000 0.0000


Model Q:
# TmB4As, relaxed, DFT GGA-PBE
# Symmetry: P6/mmm
# ρ: 7.3 g/cm3
data_TmB4As
_cell_length_a 3.1633
_cell_length_b 3.1633
_cell_length_c 7.5241
_cell_angle_alpha 90.00
_cell_angle_beta 90.00
_cell_angle_gamma 120.00
_symmetry_space_group_name_H-M 'P 1'
_symmetry_Int_Tables_number 1
loop_
_symmetry_equiv_pos_as_xyz
'x,y,z'
loop_
_atom_site_label
_atom_site_type_symbol
_atom_site_fract_x
_atom_site_fract_y
_atom_site_fract_z
Tm1 Tm 0.0000 0.0000 0.5000
As1 As 0.0000 0.0000 0.0000
B1 B 0.6667 0.3333 0.2491
B2 B 0.3333 0.6667 0.2491
B3 B 0.6667 0.3333 0.7509
B4 B 0.3333 0.6667 0.7509


It is model P that is the most stable of them.